! CrFeMo2 (meta-GGA SCAN, PBEsol geometry); values from VASP
! formation energy from the elements	0.63	eV per formula unit
! energy above the most stable polymorph in this dataset	38	meV/atom
&SYSTEM
  ibrav = 0, nat = 4, ntyp = 3
/
ATOMIC_SPECIES
Cr 52.00 Cr.upf
Fe 55.84 Fe.upf
Mo 95.94 Mo.upf
CELL_PARAMETERS angstrom
2.5700 0.0000 0.0000
0.0000 4.1512 0.0000
-0.8906 0.0000 4.9661
ATOMIC_POSITIONS crystal
Cr 0.0000 0.0000 0.0000
Fe 0.5000 0.0000 0.5000
Mo 0.2427 0.5000 0.7515
Mo 0.7573 0.5000 0.2485


! Na2TiF5 (meta-GGA SCAN, PBEsol geometry); values from VASP
! formation energy without anion corrections	-3.294	eV per atom
&SYSTEM
  ibrav = 0, nat = 32, ntyp = 3
/
ATOMIC_SPECIES
Na 22.99 Na.upf
Ti 47.87 Ti.upf
F 19.00 F.upf
CELL_PARAMETERS angstrom
7.4856 0.0000 0.0000
0.0000 5.3118 0.0000
-3.3990 0.0000 10.5540
ATOMIC_POSITIONS crystal
Na 0.1521 0.0050 0.3630
Na 0.1521 0.4950 0.8630
Na 0.3472 0.5616 0.1844
Na 0.3472 0.9384 0.6844
Na 0.6528 0.0616 0.3156
Na 0.6528 0.4384 0.8156
Na 0.8479 0.5050 0.1370
Na 0.8479 0.9950 0.6370
Ti 0.0000 0.0000 0.0000
Ti 0.0000 0.5000 0.5000
Ti 0.5000 0.0000 0.0000
Ti 0.5000 0.5000 0.5000
F 0.0559 0.6634 0.6683
F 0.0559 0.8366 0.1683
F 0.1089 0.1886 0.5754
F 0.1089 0.3114 0.0754
F 0.2511 0.6409 0.5027
F 0.2511 0.8591 0.0027
F 0.3834 0.2206 0.8581
F 0.3834 0.2794 0.3581
F 0.4801 0.7400 0.8730
F 0.4801 0.7600 0.3730
F 0.5199 0.2400 0.6270
F 0.5199 0.2600 0.1270
F 0.6166 0.7206 0.6419
F 0.6166 0.7794 0.1419
F 0.7489 0.1409 0.9973
F 0.7489 0.3591 0.4973
F 0.8911 0.6886 0.9246
F 0.8911 0.8114 0.4246
F 0.9441 0.1634 0.8317
F 0.9441 0.3366 0.3317


! TbIn2Pd (meta-GGA SCAN, PBEsol geometry); values from VASP
! formation energy from the elements	-3.13	eV per formula unit
&SYSTEM
  ibrav = 0, nat = 40, ntyp = 3
/
ATOMIC_SPECIES
Tb 158.93 Tb.upf
In 114.82 In.upf
Pd 106.42 Pd.upf
CELL_PARAMETERS angstrom
-6.8255 6.8255 4.5275
6.8255 -6.8255 4.5275
6.8255 6.8255 -4.5275
ATOMIC_POSITIONS crystal
Tb 0.0000 0.0000 0.0000
Tb 0.0862 0.0862 0.4042
Tb 0.0862 0.6820 0.0000
Tb 0.1179 0.3981 0.7198
Tb 0.3981 0.1179 0.7198
Tb 0.3981 0.6783 0.2802
Tb 0.4720 0.4720 0.0000
Tb 0.6783 0.3981 0.2802
Tb 0.6820 0.0862 0.0000
Tb 0.6820 0.6820 0.5958
In 0.1020 0.1020 0.7383
In 0.1020 0.3637 0.0000
In 0.2551 0.8726 0.3825
In 0.2771 0.4850 0.4924
In 0.2771 0.7847 0.7921
In 0.3637 0.1020 0.0000
In 0.3637 0.3637 0.2617
In 0.4850 0.2771 0.4924
In 0.4850 0.9926 0.2079
In 0.4901 0.8726 0.6175
In 0.5646 0.7278 0.8368
In 0.7278 0.5646 0.8368
In 0.7278 0.8910 0.1632
In 0.7847 0.2771 0.7921
In 0.7847 0.9926 0.5076
In 0.8726 0.2551 0.3825
In 0.8726 0.4901 0.6175
In 0.8910 0.7278 0.1632
In 0.9926 0.4850 0.2079
In 0.9926 0.7847 0.5076
Pd 0.0355 0.2503 0.2148
Pd 0.0355 0.8207 0.7852
Pd 0.1235 0.6235 0.5000
Pd 0.2503 0.0355 0.2148
Pd 0.3807 0.3807 0.6786
Pd 0.3807 0.7021 0.0000
Pd 0.6235 0.1235 0.5000
Pd 0.7021 0.3807 0.0000
Pd 0.7021 0.7021 0.3214
Pd 0.8207 0.0355 0.7852


! Cr3Tc (meta-GGA SCAN, PBEsol geometry); values from VASP
! formation energy from the elements	0.04	eV per formula unit
&SYSTEM
  ibrav = 0, nat = 4, ntyp = 2
/
ATOMIC_SPECIES
Cr 52.00 Cr.upf
Tc 98.00 Tc.upf
CELL_PARAMETERS angstrom
-1.4384 2.0439 4.0549
1.4384 -2.0439 4.0549
1.4384 2.0439 -4.0549
ATOMIC_POSITIONS crystal
Cr 0.0000 0.0000 0.0000
Cr 0.2440 0.7440 0.5000
Cr 0.7560 0.2560 0.5000
Tc 0.5000 0.5000 0.0000


What is the formula in the second record?
Na2TiF5


Repeat the first record exactly.
! CrFeMo2 (meta-GGA SCAN, PBEsol geometry); values from VASP
! formation energy from the elements	0.63	eV per formula unit
! energy above the most stable polymorph in this dataset	38	meV/atom
&SYSTEM
  ibrav = 0, nat = 4, ntyp = 3
/
ATOMIC_SPECIES
Cr 52.00 Cr.upf
Fe 55.84 Fe.upf
Mo 95.94 Mo.upf
CELL_PARAMETERS angstrom
2.5700 0.0000 0.0000
0.0000 4.1512 0.0000
-0.8906 0.0000 4.9661
ATOMIC_POSITIONS crystal
Cr 0.0000 0.0000 0.0000
Fe 0.5000 0.0000 0.5000
Mo 0.2427 0.5000 0.7515
Mo 0.7573 0.5000 0.2485